MgPd2Au | PBE-GGA | relaxed

Computed properties:
VASP energy   -4.095 eV/atom
Theoretical density   10.5 g/cm³

a = 4.4494 Å, b = 4.4494 Å, c = 8.0075 Å
α = 90.00°, β = 90.00°, γ = 120.00°
Space group P6_3/mmc (No. 194)
One atom of each set of equivalent atoms:
Mg1 0.3333 0.6667 0.2500
Pd1 0.3333 0.6667 0.5779
Au1 0.0000 0.0000 0.2500

=====

MgPd2Au | PBE-GGA | relaxed

Computed properties:
VASP energy   -4.299 eV/atom
Theoretical density   11.1 g/cm³

a = 5.9386 Å, b = 6.9352 Å, c = 3.1604 Å
α = 90.00°, β = 90.00°, γ = 90.00°
Space group Cmmm (No. 65)
One atom of each set of equivalent atoms:
Mg1 0.0000 0.0000 0.0000
Pd1 0.2500 0.2500 0.5000
Au1 0.0000 0.5000 0.0000